## Pa4SbTe2C (GGA-PBE)

Data for an optimized crystal structure of Pa4SbTe2C.

a = 3.9577 Å, b = 7.3873 Å, c = 7.5478 Å
α = 107.48°, β = 90.00°, γ = 90.00°
Site moments in Bohr magnetons follow the coordinates.
Fractional positions:
Te1 0.5000 0.0000 0.5000  -0.03
Te2 0.0000 0.5000 0.5000  -0.01
Pa1 0.0000 0.3073 0.8064  0.74
Pa2 0.5000 0.2950 0.2070  0.65
Pa3 0.0000 0.6927 0.1936  0.74
Pa4 0.5000 0.7050 0.7930  0.65
C1 0.5000 0.5000 0.0000  -0.04
Sb1 0.0000 0.0000 0.0000  -0.01

Properties
space-group type = P2/m, No. 10
total moment = 3.31 Bohr magnetons per cell
E_form (uncorrected) = -3.70 eV/f.u.
Fermi-level density of states = 1.996 states/eV/atom
crystal system = monoclinic
E = -7.66 eV/atom